Density functional theory data (GGA-PBE) for Pu8GeRu5 after structural relaxation.

abc: 7.289 7.289 7.289
angles: 109.06 109.06 110.29
Positions (direct):
Pu (0.107, 0.369, 0.600)
Pu (0.124, 0.380, 0.113)
Pu (0.267, 0.011, 0.887)
Pu (0.493, 0.893, 0.262)
Pu (0.620, 0.733, 0.744)
Pu (0.631, 0.231, 0.738)
Pu (0.769, 0.507, 0.400)
Pu (0.989, 0.876, 0.256)
Ge (0.500, 0.500, 0.000)
Ru (0.014, 0.626, 0.901)
Ru (0.250, 0.750, 0.500)
Ru (0.374, 0.275, 0.388)
Ru (0.725, 0.113, 0.099)
Ru (0.887, 0.986, 0.612)

Summary:
The space group is No. 82.

***

Density functional theory data (GGA-PBE) for Pu8Ge2Ru after structural relaxation.

abc: 7.703 7.703 6.464
angles: 110.28 110.28 39.78
Positions (direct):
Pu (0.000, 0.000, 0.242)
Pu (0.000, 0.000, 0.758)
Pu (0.152, 0.152, 0.644)
Pu (0.349, 0.349, 0.645)
Pu (0.388, 0.388, 0.054)
Pu (0.612, 0.612, 0.946)
Pu (0.651, 0.651, 0.355)
Pu (0.848, 0.848, 0.356)
Ge (0.199, 0.199, 0.169)
Ge (0.801, 0.801, 0.831)
Ru (0.500, 0.500, 0.500)

Summary:
The space group is No. 12.

***

Density functional theory data (GGA-PBE) for Pu2Ge3Ru after structural relaxation.

abc: 5.570 5.570 6.802
angles: 125.57 125.57 46.76
Positions (direct):
Pu (0.000, 0.000, 0.000)
Pu (0.114, 0.114, 0.603)
Ge (0.381, 0.381, 0.196)
Ge (0.687, 0.687, 0.962)
Ge (0.735, 0.735, 0.406)
Ru (0.379, 0.379, 0.581)

Summary:
The value obtained for the energy above the lowest structure with this stoichiometry is 0.0 meV/atom. The space group is No. 8.

***

Number 1: energy of formation -4.7 kJ/mol of atoms, E_tot -166.34 eV per cell. Number 2: energy of formation -16.2 kJ/mol of atoms, E_tot -135.02 eV per cell. Number 3: energy of formation -37.0 kJ/mol of atoms, E_tot -54.09 eV per cell.